This record from the Alexandria database describes a geometry-optimized Li3Zn7Cd2 structure. The functional is GGA-PBE.

Cell: 4.3035 3.0529 15.5352 Å, 90.00 97.45 90.00°
Space group P2/m (No. 10)
Inequivalent atoms, fractional coordinates:
Li  0.0000  0.0000  0.0000 x1
Li  0.3033  0.5000  0.6147 x2
Zn  0.0773  0.5000  0.1340 x2
Zn  0.2308  0.0000  0.4599 x2
Zn  0.4161  0.0000  0.8514 x2
Zn  0.5000  0.5000  0.0000 x1
Cd  0.1514  0.0000  0.2861 x2

Output
- Calculated volume: 202.38 Å³/cell
- ΔE_f: -7 kJ per mole of atoms